Entry 1:
The following is a DFT calculation (GGA-PBE) of crystalline Er2TiGa2Rh5 at its relaxed geometry.

Cell and atoms, written as POSCAR:
```
Er2TiGa2Rh5
1.0
-0.865 3.184 -1.046
-9.525 -2.533 0.168
-0.611 2.920 9.395
Er Ti Ga Rh
4 2 4 10
Cartesian
-6.503 -1.200 1.726
-3.633 1.587 7.836
-1.836 0.524 3.113
-8.299 -0.136 6.450
0.000 0.000 0.000
-5.068 0.194 4.781
-1.593 1.509 5.912
-8.542 -1.122 3.650
-6.506 0.961 8.306
-3.630 -0.574 1.256
-2.379 1.277 0.128
-8.621 2.295 8.389
-1.547 3.762 7.002
-7.367 1.087 3.675
-9.454 -0.190 1.514
-3.634 2.485 4.842
-6.248 2.204 6.150
-4.752 1.368 2.367
-5.195 0.326 -0.439
-0.738 3.052 4.174
```

Output
* spin magnetization: 0.00 Bohr magnetons per cell
* formation energy: -0.83 eV/atom
* DOS(E_F): 10.0 states/eV per cell


Entry 2:
The following is a DFT calculation (GGA-PBE) of crystalline NdEr4Tm2 at its relaxed geometry.

Cell and atoms, written as POSCAR:
```
NdEr4Tm2
1.0
-2.018 1.175 2.607
-4.178 -6.793 -4.865
4.711 -1.714 6.762
Nd Er Tm
1 4 2
Cartesian
0.000 0.000 0.000
-1.001 -5.321 1.620
1.037 -1.427 6.144
-0.484 -2.011 2.883
-2.522 -5.905 -1.641
-1.860 -2.744 -0.201
0.375 -4.588 4.705
```

Output
* excess energy over the best structure of this formula in the dataset: 0 meV per atom
* spin magnetization: 0.00 Bohr magnetons per cell
* formation energy: 0.03 eV/atom
* DOS(E_F): 10.2 states/eV per cell


Entry 3:
The following is a DFT calculation (GGA-PBE) of crystalline LaBeRh at its relaxed geometry.

Cell and atoms, written as POSCAR:
```
LaBeRh
1.0
5.694 -0.001 0.000
3.885 4.163 0.000
-4.789 -2.081 2.270
Be Rh La
1 1 1
Cartesian
0.468 0.203 0.000
5.876 2.553 0.000
3.235 1.406 0.000
```

Output
* excess energy over the best structure of this formula in the dataset: 190 meV per atom
* spin magnetization: 0.00 Bohr magnetons per cell
* formation energy: -0.33 eV/atom
* DOS(E_F): 2.7 states/eV per cell